Entry 1:
# Sc4TeC2 (PBE-GGA, relaxed)
data_Sc4TeC2
_chemical_formula_sum 'Sc8 Te2 C4'
_symmetry_space_group_name_H-M 'P 1'
_symmetry_Int_Tables_number 1
_symmetry_space_group_name_Hall 'P 1'
_cell_length_a 7.0677
_cell_length_b 7.0677
_cell_length_c 7.0677
_cell_angle_alpha 112.27
_cell_angle_beta 112.27
_cell_angle_gamma 104.00
loop_
_atom_site_label
_atom_site_fract_x
_atom_site_fract_y
_atom_site_fract_z
Sc1 0.2499 0.3210 0.5710
Sc2 0.2499 0.6789 0.9290
Sc3 0.3210 0.2499 0.0710
Sc4 0.3211 0.7501 0.5710
Sc5 0.6789 0.2499 0.4290
Sc6 0.6790 0.7501 0.9290
Sc7 0.7501 0.3211 0.0710
Sc8 0.7501 0.6790 0.4290
Te1 0.1250 0.8750 0.2500
Te2 0.8750 0.1250 0.7500
C1 0.0000 0.5000 0.5000
C2 0.5000 0.0000 0.0000
C3 0.5000 0.5000 0.0000
C4 0.5000 0.5000 0.5000
# energy relative to the lowest polymorph listed for this composition	142	meV per atom
# formation energy from raw total energies	-559	meV per atom

---

Entry 2:
# NaPdAuSCl (PBE-GGA, relaxed)
data_NaPdAuSCl
_chemical_formula_sum 'Na1 Pd1 Au1 S1 Cl1'
_symmetry_space_group_name_H-M 'P 1'
_symmetry_Int_Tables_number 1
_symmetry_space_group_name_Hall 'P 1'
_cell_length_a 3.6973
_cell_length_b 3.9192
_cell_length_c 8.0445
_cell_angle_alpha 102.09
_cell_angle_beta 103.22
_cell_angle_gamma 90.14
loop_
_atom_site_label
_atom_site_fract_x
_atom_site_fract_y
_atom_site_fract_z
Na1 0.0000 0.0000 0.0000
Pd1 0.3076 0.0536 0.6120
Au1 0.7188 0.5310 0.4360
S1 0.8570 0.3946 0.7094
Cl1 0.5644 0.5506 0.1294
# energy relative to the lowest polymorph listed for this composition	52	meV per atom
# formation energy from raw total energies	-557	meV per atom

---

Entry 3:
# LiNbIn3 (PBE-GGA, relaxed)
data_LiNbIn3
_chemical_formula_sum 'Li1 Nb1 In3'
_symmetry_space_group_name_H-M 'P 1'
_symmetry_Int_Tables_number 1
_symmetry_space_group_name_Hall 'P 1'
_cell_length_a 5.4260
_cell_length_b 5.4260
_cell_length_c 5.4260
_cell_angle_alpha 90.00
_cell_angle_beta 90.00
_cell_angle_gamma 90.00
loop_
_atom_site_label
_atom_site_fract_x
_atom_site_fract_y
_atom_site_fract_z
Li1 0.0000 0.0000 0.0000
Nb1 0.5000 0.5000 0.5000
In1 0.0000 0.5000 0.5000
In2 0.5000 0.0000 0.5000
In3 0.5000 0.5000 0.0000
# energy relative to the lowest polymorph listed for this composition	0	meV per atom

---

Entry 4:
# DyAsRh2 (PBE-GGA, relaxed)
data_DyAsRh2
_chemical_formula_sum 'Dy4 As4 Rh8'
_symmetry_space_group_name_H-M 'P 1'
_symmetry_Int_Tables_number 1
_symmetry_space_group_name_Hall 'P 1'
_cell_length_a 8.1893
_cell_length_b 8.1893
_cell_length_c 8.8027
_cell_angle_alpha 90.00
_cell_angle_beta 90.00
_cell_angle_gamma 150.64
loop_
_atom_site_label
_atom_site_fract_x
_atom_site_fract_y
_atom_site_fract_z
Dy1 0.0000 0.0000 0.0000
Dy2 0.0000 0.0000 0.5000
Dy3 0.1944 0.8056 0.7500
Dy4 0.8056 0.1944 0.2500
As1 0.3596 0.6404 0.0241
As2 0.3596 0.6404 0.4759
As3 0.6404 0.3596 0.5241
As4 0.6404 0.3596 0.9759
Rh1 0.2007 0.7993 0.0871
Rh2 0.2007 0.7993 0.4129
Rh3 0.3833 0.6167 0.7500
Rh4 0.4500 0.5500 0.2500
Rh5 0.5500 0.4500 0.7500
Rh6 0.6167 0.3833 0.2500
Rh7 0.7993 0.2007 0.5871
Rh8 0.7993 0.2007 0.9129
# total energy	-6.80	eV/atom

---

Entry 5:
# Th4Os (PBE-GGA, relaxed)
data_Th4Os
_chemical_formula_sum 'Th8 Os2'
_symmetry_space_group_name_H-M 'P 1'
_symmetry_Int_Tables_number 1
_symmetry_space_group_name_Hall 'P 1'
_cell_length_a 8.7785
_cell_length_b 8.7785
_cell_length_c 3.6521
_cell_angle_alpha 90.00
_cell_angle_beta 90.00
_cell_angle_gamma 90.00
loop_
_atom_site_label
_atom_site_fract_x
_atom_site_fract_y
_atom_site_fract_z
Th1 0.0776 0.2713 0.0000
Th2 0.2287 0.5776 0.5000
Th3 0.2713 0.9224 0.0000
Th4 0.4224 0.2287 0.5000
Th5 0.5776 0.7713 0.5000
Th6 0.7287 0.0776 0.0000
Th7 0.7713 0.4224 0.5000
Th8 0.9224 0.7287 0.0000
Os1 0.0000 0.0000 0.5000
Os2 0.5000 0.5000 0.0000
# energy relative to the lowest polymorph listed for this composition	0	meV per atom

---

Entry 6:
# NbPt4Rh (PBE-GGA, relaxed)
data_NbPt4Rh
_chemical_formula_sum 'Nb2 Pt8 Rh2'
_symmetry_space_group_name_H-M 'P 1'
_symmetry_Int_Tables_number 1
_symmetry_space_group_name_Hall 'P 1'
_cell_length_a 4.8806
_cell_length_b 8.4422
_cell_length_c 4.8516
_cell_angle_alpha 90.00
_cell_angle_beta 110.06
_cell_angle_gamma 90.00
loop_
_atom_site_label
_atom_site_fract_x
_atom_site_fract_y
_atom_site_fract_z
Nb1 0.0000 0.0000 0.0000
Nb2 0.5000 0.5000 0.0000
Pt1 0.0000 0.1652 0.5000
Pt2 0.0000 0.3357 0.0000
Pt3 0.0000 0.6643 0.0000
Pt4 0.0000 0.8348 0.5000
Pt5 0.5000 0.1643 0.0000
Pt6 0.5000 0.3348 0.5000
Pt7 0.5000 0.6652 0.5000
Pt8 0.5000 0.8357 0.0000
Rh1 0.0000 0.5000 0.5000
Rh2 0.5000 0.0000 0.5000
# energy relative to the lowest polymorph listed for this composition	0	meV per atom

---

Entry 7:
# TaTc2Sb (PBE-GGA, relaxed)
data_TaTc2Sb
_chemical_formula_sum 'Ta2 Tc4 Sb2'
_symmetry_space_group_name_H-M 'P 1'
_symmetry_Int_Tables_number 1
_symmetry_space_group_name_Hall 'P 1'
_cell_length_a 3.4176
_cell_length_b 4.6977
_cell_length_c 8.4377
_cell_angle_alpha 90.00
_cell_angle_beta 90.00
_cell_angle_gamma 90.00
loop_
_atom_site_label
_atom_site_fract_x
_atom_site_fract_y
_atom_site_fract_z
Ta1 0.0000 0.0000 0.0000
Ta2 0.5000 0.5000 0.5000
Tc1 0.0000 0.5000 0.2515
Tc2 0.0000 0.5000 0.7485
Tc3 0.5000 0.0000 0.2485
Tc4 0.5000 0.0000 0.7515
Sb1 0.0000 0.0000 0.5000
Sb2 0.5000 0.5000 0.0000
# formation energy from raw total energies	149	meV per atom

---

Entry 8:
# Ba3TlBi (PBE-GGA, relaxed)
data_Ba3TlBi
_chemical_formula_sum 'Ba12 Tl4 Bi4'
_symmetry_space_group_name_H-M 'P 1'
_symmetry_Int_Tables_number 1
_symmetry_space_group_name_Hall 'P 1'
_cell_length_a 10.8224
_cell_length_b 9.4066
_cell_length_c 9.8136
_cell_angle_alpha 90.00
_cell_angle_beta 109.76
_cell_angle_gamma 90.00
loop_
_atom_site_label
_atom_site_fract_x
_atom_site_fract_y
_atom_site_fract_z
Ba1 0.0436 0.0105 0.2270
Ba2 0.0436 0.4895 0.7270
Ba3 0.2712 0.1404 0.6031
Ba4 0.2712 0.3596 0.1031
Ba5 0.3602 0.6901 0.4396
Ba6 0.3602 0.8099 0.9396
Ba7 0.6398 0.1901 0.0604
Ba8 0.6398 0.3099 0.5604
Ba9 0.7288 0.6404 0.8969
Ba10 0.7288 0.8596 0.3969
Ba11 0.9564 0.5105 0.2730
Ba12 0.9564 0.9895 0.7730
Tl1 0.4179 0.0565 0.3207
Tl2 0.4179 0.4435 0.8207
Tl3 0.5821 0.5565 0.1793
Tl4 0.5821 0.9435 0.6793
Bi1 0.0959 0.7072 0.0483
Bi2 0.0959 0.7928 0.5483
Bi3 0.9041 0.2072 0.4517
Bi4 0.9041 0.2928 0.9517
# energy relative to the lowest polymorph listed for this composition	0	meV per atom

---

Number 1: D(E_F) 5.13 states/eV/cell. Number 2: D(E_F) 2.57 states/eV/cell. Number 3: D(E_F) 3.95 states/eV/cell. Number 4: D(E_F) 12.76 states/eV/cell. Number 5: D(E_F) 11.39 states/eV/cell. Number 6: D(E_F) 10.73 states/eV/cell. Number 7: D(E_F) 9.01 states/eV/cell. Number 8: D(E_F) 18.97 states/eV/cell.